# PuZrMnZn, relaxed, DFT PBE
# - DFT total energy (eV/atom) = -8.2876
data_PuZrMnZn
_cell_length_a 6.781
_cell_length_b 6.781
_cell_length_c 6.781
_cell_angle_alpha 90.00
_cell_angle_beta 90.00
_cell_angle_gamma 90.00
_symmetry_space_group_name_H-M 'F -4 3 m'
_symmetry_Int_Tables_number 216
_symmetry_space_group_name_Hall 'F -4 2 3'
loop_
_atom_site_label
_atom_site_fract_x
_atom_site_fract_y
_atom_site_fract_z
Pu1 0.000 0.000 0.000
Zr1 0.000 0.000 0.500
Mn1 0.250 0.250 0.750
Zn1 0.250 0.250 0.250


# SmHoPa2N4, relaxed, DFT PBE
# - raw formation energy (eV per formula unit) = -13.06
data_SmHoPa2N4
_cell_length_a 6.075
_cell_length_b 3.508
_cell_length_c 6.092
_cell_angle_alpha 90.00
_cell_angle_beta 109.54
_cell_angle_gamma 90.00
_symmetry_space_group_name_H-M 'P 1 2/m 1'
_symmetry_Int_Tables_number 10
loop_
_symmetry_equiv_pos_as_xyz
'x,y,z'
'-x,-y,-z'
'-x,y,-z'
'x,-y,z'
loop_
_atom_site_label
_atom_site_fract_x
_atom_site_fract_y
_atom_site_fract_z
Sm1 0.000 0.000 0.000
Ho1 0.000 0.500 0.500
Pa1 0.500 0.000 0.500
Pa2 0.500 0.500 0.000
N1 0.265 0.000 0.748
N2 0.270 0.500 0.265


# BaAcI5, relaxed, DFT PBE
# - raw formation energy (eV per formula unit) = -11.40
data_BaAcI5
_cell_length_a 9.219
_cell_length_b 4.950
_cell_length_c 15.663
_cell_angle_alpha 90.00
_cell_angle_beta 91.77
_cell_angle_gamma 90.00
_symmetry_space_group_name_H-M 'P 1 21/m 1'
_symmetry_Int_Tables_number 11
loop_
_symmetry_equiv_pos_as_xyz
'x,y,z'
'-x,-y,-z'
'-x,y+1/2,-z'
'x,-y+1/2,z'
loop_
_atom_site_label
_atom_site_fract_x
_atom_site_fract_y
_atom_site_fract_z
Ba1 0.078 0.250 0.146
Ac1 0.426 0.750 0.350
I1 0.070 0.750 0.321
I2 0.156 0.250 0.929
I3 0.315 0.250 0.483
I4 0.360 0.750 0.704
I5 0.365 0.750 0.141


# PmNd2PdO5, relaxed, DFT PBE
# - raw formation energy (eV per formula unit) = -22.09
data_PmNd2PdO5
_cell_length_a 6.629
_cell_length_b 6.629
_cell_length_c 5.961
_cell_angle_alpha 90.00
_cell_angle_beta 90.00
_cell_angle_gamma 90.00
_symmetry_space_group_name_H-M 'P 4/m b m'
_symmetry_Int_Tables_number 127
_symmetry_space_group_name_Hall '-P 4 2ab'
loop_
_atom_site_label
_atom_site_fract_x
_atom_site_fract_y
_atom_site_fract_z
Pm1 0.000 0.000 0.000
Nd1 0.164 0.336 0.500
Pd1 0.000 0.500 0.000
O1 0.000 0.000 0.500
O2 0.167 0.667 0.239


# CoPbS, relaxed, DFT PBE
# - raw formation energy (eV per formula unit) = -0.49
data_CoPbS
_cell_length_a 6.003
_cell_length_b 6.003
_cell_length_c 6.003
_cell_angle_alpha 90.00
_cell_angle_beta 90.00
_cell_angle_gamma 90.00
_symmetry_space_group_name_H-M 'P 21 3'
_symmetry_Int_Tables_number 198
_symmetry_space_group_name_Hall 'P 2ac 2ab 3'
loop_
_atom_site_label
_atom_site_fract_x
_atom_site_fract_y
_atom_site_fract_z
Co1 0.056 0.056 0.056
Pb1 0.148 0.648 0.852
S1 0.134 0.866 0.366


# TlZnRe2, relaxed, DFT PBE
# - ΔE to the lowest computed polymorph (meV per atom) = 574
data_TlZnRe2
_cell_length_a 3.887
_cell_length_b 3.887
_cell_length_c 4.434
_cell_angle_alpha 90.00
_cell_angle_beta 90.00
_cell_angle_gamma 90.00
_symmetry_space_group_name_H-M 'P 4/m m m'
_symmetry_Int_Tables_number 123
_symmetry_space_group_name_Hall '-P 4 2'
loop_
_atom_site_label
_atom_site_fract_x
_atom_site_fract_y
_atom_site_fract_z
Tl1 0.000 0.000 0.000
Zn1 0.500 0.500 0.000
Re1 0.000 0.500 0.500


# Ce5ScP6, relaxed, DFT PBE
# - DFT total energy (eV/atom) = -7.1782
data_Ce5ScP6
_cell_length_a 6.995
_cell_length_b 12.116
_cell_length_c 6.995
_cell_angle_alpha 90.00
_cell_angle_beta 109.52
_cell_angle_gamma 90.00
_symmetry_space_group_name_H-M 'C 1 2/m 1'
_symmetry_Int_Tables_number 12
loop_
_symmetry_equiv_pos_as_xyz
'x,y,z'
'-x,-y,-z'
'-x,y,-z'
'x,-y,z'
'x+1/2,y+1/2,z'
'-x+1/2,-y+1/2,-z'
'-x+1/2,y+1/2,-z'
'x+1/2,-y+1/2,z'
loop_
_atom_site_label
_atom_site_fract_x
_atom_site_fract_y
_atom_site_fract_z
Ce1 0.000 0.000 0.000
Ce2 0.000 0.166 0.500
Ce3 0.000 0.331 0.000
Sc1 0.000 0.500 0.500
P1 0.242 0.338 0.742
P2 0.242 0.500 0.255


# BeVAg, relaxed, DFT PBE
# - ΔE to the lowest computed polymorph (meV per atom) = 599
data_BeVAg
_cell_length_a 3.929
_cell_length_b 3.929
_cell_length_c 5.622
_cell_angle_alpha 90.00
_cell_angle_beta 90.00
_cell_angle_gamma 90.00
_symmetry_space_group_name_H-M 'P 4/n m m'
_symmetry_Int_Tables_number 129
loop_
_symmetry_equiv_pos_as_xyz
'x,y,z'
'-x,-y,-z'
'-y+1/2,x,z'
'y+1/2,-x,-z'
'-x+1/2,-y+1/2,z'
'x+1/2,y+1/2,-z'
'y,-x+1/2,z'
'-y,x+1/2,-z'
'x+1/2,-y,-z'
'-x+1/2,y,z'
'-y,-x,-z'
'y,x,z'
'-x,y+1/2,-z'
'x,-y+1/2,z'
'y+1/2,x+1/2,-z'
'-y+1/2,-x+1/2,z'
loop_
_atom_site_label
_atom_site_fract_x
_atom_site_fract_y
_atom_site_fract_z
Be1 0.250 0.750 0.000
V1 0.250 0.250 0.178
Ag1 0.250 0.250 0.657


# SrTcW, relaxed, DFT PBE
# - ΔE to the lowest computed polymorph (meV per atom) = 287
data_SrTcW
_cell_length_a 3.2229
_cell_length_b 3.2229
_cell_length_c 7.3038
_cell_angle_alpha 90.00
_cell_angle_beta 90.00
_cell_angle_gamma 120.00
_symmetry_space_group_name_H-M 'P 3 m 1'
_symmetry_Int_Tables_number 156
loop_
_symmetry_equiv_pos_as_xyz
'x,y,z'
'-y,x-y,z'
'-x+y,-x,z'
'-y,-x,z'
'-x+y,y,z'
'x,x-y,z'
loop_
_atom_site_label
_atom_site_fract_x
_atom_site_fract_y
_atom_site_fract_z
Sr1 0.0000 0.0000 0.0000
Tc1 0.6667 0.3333 0.3751
W1 0.3333 0.6667 0.6022


# BRh3N, relaxed, DFT PBE
# - ΔE to the lowest computed polymorph (meV per atom) = 0
# - raw formation energy (eV per formula unit) = 4.12
data_BRh3N
_cell_length_a 3.984
_cell_length_b 3.984
_cell_length_c 3.984
_cell_angle_alpha 90.00
_cell_angle_beta 90.00
_cell_angle_gamma 90.00
_symmetry_space_group_name_H-M 'P m -3 m'
_symmetry_Int_Tables_number 221
_symmetry_space_group_name_Hall '-P 4 2 3'
loop_
_atom_site_label
_atom_site_fract_x
_atom_site_fract_y
_atom_site_fract_z
B1 0.000 0.000 0.000
Rh1 0.000 0.500 0.500
N1 0.500 0.500 0.500


# LaAs2PtBr, relaxed, DFT PBE
# - ΔE to the lowest computed polymorph (meV per atom) = 0
# - raw formation energy (eV per formula unit) = -2.03
data_LaAs2PtBr
_cell_length_a 4.942
_cell_length_b 4.942
_cell_length_c 5.171
_cell_angle_alpha 90.00
_cell_angle_beta 90.00
_cell_angle_gamma 90.00
_symmetry_space_group_name_H-M 'P 4/m m m'
_symmetry_Int_Tables_number 123
_symmetry_space_group_name_Hall '-P 4 2'
loop_
_atom_site_label
_atom_site_fract_x
_atom_site_fract_y
_atom_site_fract_z
La1 0.000 0.000 0.000
As1 0.000 0.500 0.500
Pt1 0.500 0.500 0.500
Br1 0.500 0.500 0.000


# TcHg2Rh, relaxed, DFT PBE
# - ΔE to the lowest computed polymorph (meV per atom) = 0
data_TcHg2Rh
_cell_length_a 2.934
_cell_length_b 2.895
_cell_length_c 8.713
_cell_angle_alpha 90.00
_cell_angle_beta 98.83
_cell_angle_gamma 90.00
_symmetry_space_group_name_H-M 'P 1 m 1'
_symmetry_Int_Tables_number 6
loop_
_symmetry_equiv_pos_as_xyz
'x,y,z'
'x,-y,z'
loop_
_atom_site_label
_atom_site_fract_x
_atom_site_fract_y
_atom_site_fract_z
Tc1 0.000 0.000 0.000
Hg1 0.201 0.000 0.434
Hg2 0.387 0.500 0.751
Rh1 0.585 0.500 0.185


# SrTePb2, relaxed, DFT PBE
# - raw formation energy (eV per formula unit) = -2.06
data_SrTePb2
_cell_length_a 4.636
_cell_length_b 4.636
_cell_length_c 6.282
_cell_angle_alpha 90.00
_cell_angle_beta 90.00
_cell_angle_gamma 90.00
_symmetry_space_group_name_H-M 'P 4/m m m'
_symmetry_Int_Tables_number 123
_symmetry_space_group_name_Hall '-P 4 2'
loop_
_atom_site_label
_atom_site_fract_x
_atom_site_fract_y
_atom_site_fract_z
Sr1 0.000 0.000 0.000
Te1 0.500 0.500 0.000
Pb1 0.000 0.500 0.500


# TiRuNF2, relaxed, DFT PBE
# - ΔE to the lowest computed polymorph (meV per atom) = 0
# - raw formation energy (eV per formula unit) = -4.05
data_TiRuNF2
_cell_length_a 3.926
_cell_length_b 3.926
_cell_length_c 4.052
_cell_angle_alpha 90.00
_cell_angle_beta 90.00
_cell_angle_gamma 90.00
_symmetry_space_group_name_H-M 'P 4/m m m'
_symmetry_Int_Tables_number 123
_symmetry_space_group_name_Hall '-P 4 2'
loop_
_atom_site_label
_atom_site_fract_x
_atom_site_fract_y
_atom_site_fract_z
Ti1 0.000 0.000 0.000
Ru1 0.500 0.500 0.500
N1 0.000 0.000 0.500
F1 0.000 0.500 0.000


# PrYSeO2, relaxed, DFT PBE
# - raw formation energy (eV per formula unit) = -15.09
data_PrYSeO2
_cell_length_a 6.667
_cell_length_b 4.119
_cell_length_c 7.804
_cell_angle_alpha 90.00
_cell_angle_beta 108.23
_cell_angle_gamma 90.00
_symmetry_space_group_name_H-M 'P 1 21/m 1'
_symmetry_Int_Tables_number 11
loop_
_symmetry_equiv_pos_as_xyz
'x,y,z'
'-x,-y,-z'
'-x,y+1/2,-z'
'x,-y+1/2,z'
loop_
_atom_site_label
_atom_site_fract_x
_atom_site_fract_y
_atom_site_fract_z
Pr1 0.190 0.250 0.428
Y1 0.172 0.250 0.920
Se1 0.453 0.750 0.748
O1 0.016 0.750 0.371
O2 0.016 0.750 0.887


# K2LiFe, relaxed, DFT PBE
# - ΔE to the lowest computed polymorph (meV per atom) = 88
data_K2LiFe
_cell_length_a 3.437
_cell_length_b 6.191
_cell_length_c 13.290
_cell_angle_alpha 90.00
_cell_angle_beta 90.00
_cell_angle_gamma 90.00
_symmetry_space_group_name_H-M 'I m m 2'
_symmetry_Int_Tables_number 44
loop_
_symmetry_equiv_pos_as_xyz
'x,y,z'
'-x,-y,z'
'-x,y,z'
'x,-y,z'
'x+1/2,y+1/2,z+1/2'
'-x+1/2,-y+1/2,z+1/2'
'-x+1/2,y+1/2,z+1/2'
'x+1/2,-y+1/2,z+1/2'
loop_
_atom_site_label
_atom_site_fract_x
_atom_site_fract_y
_atom_site_fract_z
K1 0.000 0.000 0.000
K2 0.000 0.500 0.205
Li1 0.000 0.500 0.809
Fe1 0.000 0.000 0.462


# LiAl5Cu, relaxed, DFT PBE
# - ΔE to the lowest computed polymorph (meV per atom) = 593
data_LiAl5Cu
_cell_length_a 7.080
_cell_length_b 9.173
_cell_length_c 4.615
_cell_angle_alpha 90.00
_cell_angle_beta 90.00
_cell_angle_gamma 90.00
_symmetry_space_group_name_H-M 'I m m 2'
_symmetry_Int_Tables_number 44
loop_
_symmetry_equiv_pos_as_xyz
'x,y,z'
'-x,-y,z'
'-x,y,z'
'x,-y,z'
'x+1/2,y+1/2,z+1/2'
'-x+1/2,-y+1/2,z+1/2'
'-x+1/2,y+1/2,z+1/2'
'x+1/2,-y+1/2,z+1/2'
loop_
_atom_site_label
_atom_site_fract_x
_atom_site_fract_y
_atom_site_fract_z
Li1 0.000 0.000 0.000
Al1 0.000 0.000 0.486
Al2 0.000 0.250 0.744
Al3 0.178 0.500 0.292
Cu1 0.000 0.500 0.795


# CaTb6Dy3, relaxed, DFT PBE
# - DFT total energy (eV/atom) = -4.2800
data_CaTb6Dy3
_cell_length_a 11.959
_cell_length_b 3.545
_cell_length_c 15.999
_cell_angle_alpha 90.00
_cell_angle_beta 104.22
_cell_angle_gamma 90.00
_symmetry_space_group_name_H-M 'P 1 21/m 1'
_symmetry_Int_Tables_number 11
loop_
_symmetry_equiv_pos_as_xyz
'x,y,z'
'-x,-y,-z'
'-x,y+1/2,-z'
'x,-y+1/2,z'
loop_
_atom_site_label
_atom_site_fract_x
_atom_site_fract_y
_atom_site_fract_z
Ca1 0.133 0.250 0.062
Tb1 0.111 0.250 0.459
Tb2 0.116 0.750 0.851
Tb3 0.154 0.750 0.274
Tb4 0.336 0.750 0.615
Tb5 0.362 0.250 0.822
Tb6 0.382 0.750 0.020
Dy1 0.113 0.250 0.669
Dy2 0.383 0.250 0.431
Dy3 0.398 0.250 0.218


# AcCePb2, relaxed, DFT PBE
# - DFT total energy (eV/atom) = -4.7420
data_AcCePb2
_cell_length_a 5.3755
_cell_length_b 5.3755
_cell_length_c 16.7501
_cell_angle_alpha 90.00
_cell_angle_beta 90.00
_cell_angle_gamma 120.00
_symmetry_space_group_name_H-M 'R -3 m'
_symmetry_Int_Tables_number 166
_symmetry_space_group_name_Hall '-R 3 2"'
loop_
_atom_site_label
_atom_site_fract_x
_atom_site_fract_y
_atom_site_fract_z
Ac1 0.0000 0.0000 0.0000
Ce1 0.0000 0.0000 0.5000
Pb1 0.0000 0.0000 0.2413


# CaMnBr6, relaxed, DFT PBE
# - raw formation energy (eV per formula unit) = -8.01
data_CaMnBr6
_cell_length_a 6.7222
_cell_length_b 6.7222
_cell_length_c 18.2717
_cell_angle_alpha 90.00
_cell_angle_beta 90.00
_cell_angle_gamma 120.00
_symmetry_space_group_name_H-M 'R -3'
_symmetry_Int_Tables_number 148
_symmetry_space_group_name_Hall '-R 3'
loop_
_atom_site_label
_atom_site_fract_x
_atom_site_fract_y
_atom_site_fract_z
Ca1 0.0000 0.0000 0.0000
Mn1 0.0000 0.0000 0.5000
Br1 0.0215 0.6447 0.0895